(1)
Here is a relaxed LaMgSeBr2 crystal from the Alexandria database. Energies are from PBE.

The structure belongs to space group P4/mmm (No. 123); the cell edges are 5.8547, 5.8547 and 5.7987 Å and the angles 90.00°, 90.00° and 90.00°. The inequivalent atoms are La at (0.0000, 0.0000, 0.0000), Mg at (0.5000, 0.5000, 0.5000), Se at (0.0000, 0.0000, 0.5000) and Br at (0.0000, 0.5000, 0.0000).

The density is 3.36 g/cm³. The value obtained for the density of states at the Fermi level is 1.7 states/eV/cell. The value obtained for the energy above the most stable polymorph in this dataset is 77 meV per atom. The value obtained for the uncorrected formation energy is -1083 meV/atom.

(2)
Here is a relaxed Ag3OsI2F6 crystal from the Alexandria database. Energies are from PBE.

The structure belongs to space group C2/m (No. 12); the cell edges are 14.2928, 7.4763 and 5.0745 Å and the angles 90.00°, 96.00° and 90.00°. The inequivalent atoms are Ag at (0.0000, 0.0000, 0.0000), Ag at (0.2500, 0.2500, 0.5000), Os at (0.0000, 0.5000, 0.5000), I at (0.1895, 0.0000, 0.1331), F at (0.0609, 0.3158, 0.7192) and F at (0.1068, 0.5000, 0.2991).

The density is 5.43 g/cm³. The value obtained for the uncorrected formation energy is -1187 meV/atom.